1.
Compound: Pr4Dy4Al
Source: the Alexandria database
Functional: PBE
Structure: relaxed

Density of states at the Fermi level ... 12.70 states/eV/cell
Energy of formation ... 23.66 kJ/mol of atoms
Calculated total energy ... -4.340 eV/atom
Magnetic moment ... 0.00 μB per formula unit

Structure (CIF):
```
data_Pr4Dy4Al
_chemical_formula_sum 'Pr4 Dy4 Al1'
_cell_length_a 11.3203
_cell_length_b 6.3174
_cell_length_c 7.7420
_cell_angle_alpha 114.08
_cell_angle_beta 136.98
_cell_angle_gamma 90.00
_symmetry_space_group_name_H-M 'P 1'
_symmetry_Int_Tables_number 1
loop_
_symmetry_equiv_pos_as_xyz
'x,y,z'
loop_
_atom_site_label
_atom_site_type_symbol
_atom_site_fract_x
_atom_site_fract_y
_atom_site_fract_z
Dy1 Dy 0.6204 0.0831 0.7238
Dy2 Dy 0.1035 0.6407 0.7238
Dy3 Dy 0.8965 0.9169 0.2762
Dy4 Dy 0.3796 0.3593 0.2762
Pr1 Pr 0.3294 0.3294 0.6588
Pr2 Pr 0.6706 0.6706 0.3412
Pr3 Pr 0.0000 0.5000 0.0000
Pr4 Pr 0.5000 0.0000 0.0000
Al1 Al 0.0000 0.0000 0.0000
```



2.
Compound: Rb2RhBr4Cl2
Source: the Alexandria database
Functional: PBE
Structure: relaxed

Density of states at the Fermi level ... 9.52 states/eV/cell
Uncorrected formation energy ... -1.041 eV per atom
Calculated total energy ... -3.227 eV/atom
Magnetic moment ... 1.07 μB per formula unit

Structure (CIF):
```
data_Rb2RhBr4Cl2
_chemical_formula_sum 'Rb2 Rh1 Br4 Cl2'
_cell_length_a 7.1932
_cell_length_b 7.4976
_cell_length_c 7.4976
_cell_angle_alpha 57.33
_cell_angle_beta 61.39
_cell_angle_gamma 61.39
_symmetry_space_group_name_H-M 'P 1'
_symmetry_Int_Tables_number 1
loop_
_symmetry_equiv_pos_as_xyz
'x,y,z'
loop_
_atom_site_label
_atom_site_type_symbol
_atom_site_fract_x
_atom_site_fract_y
_atom_site_fract_z
Br1 Br 0.7450 0.7548 0.2460
Br2 Br 0.7450 0.2460 0.7548
Br3 Br 0.2550 0.2452 0.7540
Br4 Br 0.2550 0.7540 0.2452
Cl1 Cl 0.2846 0.2148 0.2148
Cl2 Cl 0.7154 0.7852 0.7852
Rh1 Rh 0.5000 0.0000 0.0000
Rb1 Rb 0.7503 0.2503 0.2503
Rb2 Rb 0.2497 0.7497 0.7497
```



3.
Compound: AuSBr2
Source: the Alexandria database
Functional: PBE
Structure: relaxed

Density of states at the Fermi level ... 4.21 states/eV/cell
Uncorrected formation energy ... 0.565 eV per atom
Calculated total energy ... -2.123 eV/atom
Magnetic moment ... 0.00 μB per formula unit

Structure (CIF):
```
data_AuSBr2
_chemical_formula_sum 'Au2 S2 Br4'
_cell_length_a 5.1935
_cell_length_b 5.1935
_cell_length_c 8.8792
_cell_angle_alpha 73.00
_cell_angle_beta 73.00
_cell_angle_gamma 90.00
_symmetry_space_group_name_H-M 'P 1'
_symmetry_Int_Tables_number 1
loop_
_symmetry_equiv_pos_as_xyz
'x,y,z'
loop_
_atom_site_label
_atom_site_type_symbol
_atom_site_fract_x
_atom_site_fract_y
_atom_site_fract_z
Au1 Au 0.7500 0.2500 0.5000
Au2 Au 0.0000 0.0000 0.0000
Br1 Br 0.6079 0.1250 0.2500
Br2 Br 0.1421 0.6250 0.2500
Br3 Br 0.8750 0.8579 0.7500
Br4 Br 0.3750 0.3921 0.7500
S1 S 0.5000 0.5000 0.0000
S2 S 0.2500 0.7500 0.5000
```



4.
Compound: TlMo2Pb
Source: the Alexandria database
Functional: PBE
Structure: relaxed

Density of states at the Fermi level ... 2.45 states/eV/cell
Energy of formation ... 61.70 kJ/mol of atoms
Calculated total energy ... -6.295 eV/atom
Magnetic moment ... 0.00 μB per formula unit

Structure (CIF):
```
data_TlMo2Pb
_chemical_formula_sum 'Tl1 Mo2 Pb1'
_cell_length_a 5.6220
_cell_length_b 5.6220
_cell_length_c 5.2755
_cell_angle_alpha 68.47
_cell_angle_beta 68.47
_cell_angle_gamma 33.91
_symmetry_space_group_name_H-M 'P 1'
_symmetry_Int_Tables_number 1
loop_
_symmetry_equiv_pos_as_xyz
'x,y,z'
loop_
_atom_site_label
_atom_site_type_symbol
_atom_site_fract_x
_atom_site_fract_y
_atom_site_fract_z
Pb1 Pb 0.4832 0.4832 0.5536
Tl1 Tl 0.2690 0.2690 0.1931
Mo1 Mo 0.7080 0.7080 0.7417
Mo2 Mo 0.0398 0.0398 0.0117
```



5.
Compound: La2RePb
Source: the Alexandria database
Functional: PBE
Structure: relaxed

Density of states at the Fermi level ... 2.82 states/eV/cell
Energy of formation ... 32.73 kJ/mol of atoms
Calculated total energy ... -6.164 eV/atom
Magnetic moment ... 0.00 μB per formula unit

Structure (CIF):
```
data_La2RePb
_chemical_formula_sum 'La2 Re1 Pb1'
_cell_length_a 3.6536
_cell_length_b 3.6536
_cell_length_c 7.6211
_cell_angle_alpha 90.00
_cell_angle_beta 90.00
_cell_angle_gamma 90.00
_symmetry_space_group_name_H-M 'P 1'
_symmetry_Int_Tables_number 1
loop_
_symmetry_equiv_pos_as_xyz
'x,y,z'
loop_
_atom_site_label
_atom_site_type_symbol
_atom_site_fract_x
_atom_site_fract_y
_atom_site_fract_z
La1 La 0.5000 0.5000 0.2514
La2 La 0.0000 0.0000 0.9634
Re1 Re 0.5000 0.5000 0.7431
Pb1 Pb 0.0000 0.0000 0.5421
```



6.
Compound: Pr12SmEr5
Source: the Alexandria database
Functional: PBE
Structure: relaxed

Density of states at the Fermi level ... 29.20 states/eV/cell
Energy of formation ... 2.27 kJ/mol of atoms
Calculated total energy ... -4.692 eV/atom
Magnetic moment ... 0.00 μB per formula unit

Structure (CIF):
```
data_Pr12SmEr5
_chemical_formula_sum 'Pr12 Sm1 Er5'
_cell_length_a 15.4389
_cell_length_b 10.9457
_cell_length_c 5.1816
_cell_angle_alpha 90.00
_cell_angle_beta 90.00
_cell_angle_gamma 45.22
_symmetry_space_group_name_H-M 'P 1'
_symmetry_Int_Tables_number 1
loop_
_symmetry_equiv_pos_as_xyz
'x,y,z'
loop_
_atom_site_label
_atom_site_type_symbol
_atom_site_fract_x
_atom_site_fract_y
_atom_site_fract_z
Pr1 Pr 0.3365 0.0001 0.9999
Pr2 Pr 0.8343 0.0002 0.5001
Pr3 Pr 0.6681 0.3342 0.0001
Pr4 Pr 0.3319 0.6658 0.9999
Pr5 Pr 0.5024 0.6670 0.4999
Pr6 Pr 0.1657 0.9998 0.4999
Pr7 Pr 0.9978 0.3340 0.9999
Pr8 Pr 0.0022 0.6660 0.0001
Pr9 Pr 0.4976 0.3330 0.5001
Pr10 Pr 0.8306 0.6668 0.5001
Pr11 Pr 0.1694 0.3332 0.4999
Pr12 Pr 0.6635 0.9999 0.0001
Er1 Er 0.6669 0.6661 0.0000
Er2 Er 0.1674 0.6653 0.5000
Er3 Er 0.8326 0.3348 0.5000
Er4 Er 0.5000 0.0000 0.5000
Er5 Er 0.3331 0.3339 0.0000
Sm1 Sm 0.0000 0.0000 0.0000
```



7.
Compound: Na2In5Pb5
Source: the Alexandria database
Functional: PBE
Structure: relaxed

Density of states at the Fermi level ... 5.19 states/eV/cell
Energy of formation ... -5.24 kJ/mol of atoms
Calculated total energy ... -2.960 eV/atom
Magnetic moment ... 0.00 μB per formula unit

Structure (CIF):
```
data_Na2In5Pb5
_chemical_formula_sum 'Na2 In5 Pb5'
_cell_length_a 4.9704
_cell_length_b 7.4381
_cell_length_c 10.4707
_cell_angle_alpha 73.67
_cell_angle_beta 76.27
_cell_angle_gamma 70.48
_symmetry_space_group_name_H-M 'P 1'
_symmetry_Int_Tables_number 1
loop_
_symmetry_equiv_pos_as_xyz
'x,y,z'
loop_
_atom_site_label
_atom_site_type_symbol
_atom_site_fract_x
_atom_site_fract_y
_atom_site_fract_z
Pb1 Pb 0.6677 0.6637 0.0008
Pb2 Pb 0.3323 0.3363 0.9992
Pb3 Pb 0.5892 0.0747 0.7470
Pb4 Pb 0.5000 0.5000 0.5000
Pb5 Pb 0.4108 0.9253 0.2530
Na1 Na 0.0836 0.5789 0.2538
Na2 Na 0.9164 0.4211 0.7462
In1 In 0.1665 0.1616 0.5053
In2 In 0.7513 0.2462 0.2512
In3 In 0.8335 0.8384 0.4947
In4 In 0.2487 0.7538 0.7488
In5 In 0.0000 0.0000 0.0000
```



8.
Compound: Nd2MnNi3As4
Source: the Alexandria database
Functional: PBE
Structure: relaxed

Density of states at the Fermi level ... 4.77 states/eV/cell
Energy of formation ... -74.11 kJ/mol of atoms
Calculated total energy ... -6.233 eV/atom
Magnetic moment ... 3.43 μB per formula unit

Structure (CIF):
```
data_Nd2MnNi3As4
_chemical_formula_sum 'Nd2 Mn1 Ni3 As4'
_cell_length_a 4.2212
_cell_length_b 4.2212
_cell_length_c 9.7040
_cell_angle_alpha 90.00
_cell_angle_beta 90.00
_cell_angle_gamma 90.00
_symmetry_space_group_name_H-M 'P 1'
_symmetry_Int_Tables_number 1
loop_
_symmetry_equiv_pos_as_xyz
'x,y,z'
loop_
_atom_site_label
_atom_site_type_symbol
_atom_site_fract_x
_atom_site_fract_y
_atom_site_fract_z
As1 As 0.5000 0.5000 0.0000
As2 As 0.5000 0.0000 0.6360
As3 As 0.0000 0.5000 0.3640
As4 As 0.0000 0.0000 0.0000
Ni1 Ni 0.0000 0.0000 0.5000
Ni2 Ni 0.0000 0.5000 0.1163
Ni3 Ni 0.5000 0.0000 0.8837
Mn1 Mn 0.5000 0.5000 0.5000
Nd1 Nd 0.5000 0.0000 0.2426
Nd2 Nd 0.0000 0.5000 0.7574
```